Record 1
RbTaSnO6 | PBE-GGA | optimized geometry

Cell: 5.805 9.865 5.893 Å, 90.00 92.11 90.00°
Space group C2 (No. 5)
One atom of each set of equivalent atoms:
Rb (0.000, 0.000, 0.000)
Ta (0.000, 0.348, 0.500)
Sn (0.000, 0.657, 0.500)
O (0.087, 0.494, 0.707)
O (0.209, 0.210, 0.670)
O (0.222, 0.796, 0.672)

The value obtained for the uncorrected formation energy is -1.72 eV/atom. The value obtained for the volume is 18.74 Å³/atom.

Record 2
SrMgCd2Ag5 | PBE-GGA | optimized geometry

Cell: 5.096 5.096 8.346 Å, 90.00 90.00 90.00°
Space group P4/mmm (No. 123)
One atom of each set of equivalent atoms:
Sr (0.000, 0.000, 0.000)
Mg (0.000, 0.000, 0.500)
Cd (0.500, 0.500, 0.340)
Ag (0.000, 0.500, 0.231)
Ag (0.500, 0.500, 0.000)

The value obtained for the volume is 24.09 Å³/atom. For the formation energy, the calculation gives 5.80 kJ/mol of atoms.

Record 3
LaScB3 | PBE-GGA | optimized geometry

Cell: 4.567 4.567 4.567 Å, 90.00 90.00 90.00°
Space group Pm-3m (No. 221)
One atom of each set of equivalent atoms:
La (0.000, 0.000, 0.000)
Sc (0.500, 0.500, 0.500)
B (0.000, 0.000, 0.500)

The value obtained for the volume is 19.05 Å³/atom. For the formation energy, the calculation gives 174.19 kJ/mol of atoms. The energy above the lowest structure with this stoichiometry is 944 meV/atom.

Record 4
CsPrOs2O8 | PBE-GGA | optimized geometry

Cell: 6.1614 6.1614 8.6141 Å, 90.00 90.00 120.00°
Space group P-3 (No. 147)
One atom of each set of equivalent atoms:
Cs (0.0000, 0.0000, 0.0000)
Pr (0.0000, 0.0000, 0.5000)
Os (0.3333, 0.6667, 0.7464)
O (0.1702, 0.3475, 0.6718)
O (0.3333, 0.6667, 0.9518)

The value obtained for the uncorrected formation energy is -1.53 eV/atom. The value obtained for the volume is 23.60 Å³/atom.

Record 5
Nd3CdIn3 | PBE-GGA | optimized geometry

Cell: 11.669 4.839 15.341 Å, 90.00 108.47 90.00°
Space group C2/m (No. 12)
One atom of each set of equivalent atoms:
Nd (0.040, 0.000, 0.383)
Nd (0.097, 0.000, 0.919)
Nd (0.236, 0.000, 0.218)
Cd (0.243, 0.500, 0.390)
In (0.025, 0.500, 0.233)
In (0.118, 0.500, 0.072)
In (0.129, 0.500, 0.550)

The value obtained for the volume is 29.35 Å³/atom. For the formation energy, the calculation gives -42.31 kJ/mol of atoms.

Record 6
LiGa2Hg2 | PBE-GGA | optimized geometry

Cell: 3.758 3.758 15.618 Å, 90.00 90.00 90.00°
Space group I4/mmm (No. 139)
One atom of each set of equivalent atoms:
Li (0.000, 0.000, 0.000)
Ga (0.000, 0.500, 0.250)
Hg (0.000, 0.000, 0.405)

The value obtained for the volume is 22.06 Å³/atom. For the formation energy, the calculation gives -5.03 kJ/mol of atoms. The energy above the lowest structure with this stoichiometry is 51 meV/atom.

Record 7
CuTeW | PBE-GGA | optimized geometry

Cell: 3.2160 3.2160 6.2760 Å, 90.00 90.00 120.00°
Space group P3m1 (No. 156)
One atom of each set of equivalent atoms:
Cu (0.0000, 0.0000, 0.0000)
Te (0.6667, 0.3333, 0.3757)
W (0.3333, 0.6667, 0.6929)

The value obtained for the uncorrected formation energy is 0.66 eV/atom. The value obtained for the volume is 18.74 Å³/atom. The energy above the lowest structure with this stoichiometry is 117 meV/atom.

Record 8
Er4PPb2 | PBE-GGA | optimized geometry

Cell: 5.081 5.081 16.040 Å, 90.00 90.00 90.00°
Space group I4/mmm (No. 139)
One atom of each set of equivalent atoms:
Er (0.000, 0.000, 0.168)
Er (0.000, 0.500, 0.000)
P (0.000, 0.000, 0.000)
Pb (0.000, 0.000, 0.362)

The value obtained for the volume is 29.58 Å³/atom. For the formation energy, the calculation gives -61.55 kJ/mol of atoms. The energy above the lowest structure with this stoichiometry is 0 meV/atom.

Record 9
LaAlCl2 | PBE-GGA | optimized geometry

Cell: 3.863 4.801 5.717 Å, 90.00 91.78 90.00°
Space group P2/m (No. 10)
One atom of each set of equivalent atoms:
La (0.000, 0.000, 0.000)
Al (0.500, 0.000, 0.500)
Cl (0.239, 0.500, 0.249)

The value obtained for the uncorrected formation energy is -1.06 eV/atom. The value obtained for the volume is 26.49 Å³/atom. The energy above the lowest structure with this stoichiometry is 101 meV/atom.

Record 10
NdY2Au | PBE-GGA | optimized geometry

Cell: 3.7982 3.7982 29.6232 Å, 90.00 90.00 120.00°
Space group R3m (No. 160, hexagonal axes)
One atom of each set of equivalent atoms:
Nd (0.0000, 0.0000, 0.0000)
Y (0.0000, 0.0000, 0.2354)
Y (0.0000, 0.0000, 0.4342)
Au (0.0000, 0.0000, 0.8354)

The value obtained for the volume is 30.84 Å³/atom. For the formation energy, the calculation gives -28.75 kJ/mol of atoms. The energy above the lowest structure with this stoichiometry is 137 meV/atom.

Record 11
Tb2Sm8Tl | PBE-GGA | optimized geometry

Cell: 18.255 5.029 8.035 Å, 90.00 105.61 90.00°
Space group C2/m (No. 12)
One atom of each set of equivalent atoms:
Tb (0.224, 0.000, 0.134)
Sm (0.045, 0.000, 0.225)
Sm (0.090, 0.500, 0.943)
Sm (0.136, 0.000, 0.679)
Sm (0.180, 0.500, 0.409)
Tl (0.000, 0.500, 0.500)

The value obtained for the volume is 32.30 Å³/atom. For the formation energy, the calculation gives -3.82 kJ/mol of atoms. The energy above the lowest structure with this stoichiometry is 0 meV/atom.

Record 12
Ba2MgSn3Rh4 | PBE-GGA | optimized geometry

Cell: 4.572 4.572 11.212 Å, 90.00 90.00 90.00°
Space group P-4m2 (No. 115)
One atom of each set of equivalent atoms:
Ba (0.000, 0.500, 0.248)
Mg (0.000, 0.000, 0.500)
Sn (0.000, 0.500, 0.877)
Sn (0.500, 0.500, 0.500)
Rh (0.000, 0.000, 0.000)
Rh (0.000, 0.500, 0.631)
Rh (0.500, 0.500, 0.000)

The value obtained for the volume is 23.44 Å³/atom. For the formation energy, the calculation gives -54.93 kJ/mol of atoms.